The following is a PBE calculation of crystalline Fe6NiGe6 at its relaxed geometry, from Alexandria via LeMat-Bulk.

V (A^3/atom): 13.288
N(E_F) (states/eV/f.u.): 9.973
Energy relative to the elements (eV per formula unit): -0.86
Space-group type: No. 71
Spin magnetization (μB per cell): 9.47

Lattice parameters (Å, degrees): 5.021 6.390 6.390 76.85 66.87 66.87
Fractional coordinates of all 13 atoms:
Fe (0.500, 0.256, 0.744)
Fe (0.500, 0.000, 0.500)
Fe (0.500, 0.744, 0.256)
Fe (0.000, 0.000, 0.500)
Fe (0.500, 0.500, 0.000)
Fe (0.000, 0.500, 0.000)
Ge (0.342, 0.158, 0.158)
Ge (0.678, 0.322, 0.322)
Ge (0.658, 0.842, 0.842)
Ge (0.000, 0.668, 0.332)
Ge (0.322, 0.678, 0.678)
Ge (0.000, 0.332, 0.668)
Ni (0.000, 0.000, 0.000)

---

The following is a PBE calculation of crystalline FeNiGe at its relaxed geometry, from Alexandria via LeMat-Bulk.

V (A^3/atom): 12.574
N(E_F) (states/eV/f.u.): 3.204
Energy relative to the elements (eV per formula unit): -0.24
Space-group type: No. 156
Spin magnetization (μB per cell): 2.65

Lattice parameters (Å, degrees): 2.694 4.021 4.021 120.00 90.00 90.00
Fractional coordinates of all 3 atoms:
Ni (0.850, 0.000, 0.000)
Ge (0.813, 0.667, 0.333)
Fe (0.337, 0.333, 0.667)

---

| no. | total energy (eV/atom) |
| --- | --- |
| 1 | -6.548 |
| 2 | -6.368 |